{
  "formula": "VNiOsO6",
  "functional": "GGA+U",
  "state": "relaxed",
  "lattice": [[-3.4747, 2.5555, -2.5519], [3.1566, -3.0444, -2.4257], [-5.7637, -6.8019, 1.0363]],
  "species": ["V", "V", "O", "O", "O", "O", "O", "O", "O", "O", "O", "O", "O", "O", "Ni", "Ni", "Os", "Os"],
  "fractional_positions": [[0.3333, 0.6667, 0.2500], [0.6667, 0.3333, 0.7500], [0.3537, 0.0078, 0.6327], [0.3537, 0.3459, 0.8673], [0.6463, 0.9922, 0.3673], [0.3459, 0.3537, 0.3673], [0.6541, 0.0078, 0.8673], [0.9922, 0.6463, 0.8673], [0.3459, 0.9922, 0.1327], [0.9922, 0.3459, 0.6327], [0.0078, 0.3537, 0.1327], [0.0078, 0.6541, 0.3673], [0.6463, 0.6541, 0.1327], [0.6541, 0.6463, 0.6327], [0.0000, 0.0000, 0.0000], [0.0000, 0.0000, 0.5000], [0.6667, 0.3333, 0.2500], [0.3333, 0.6667, 0.7500]],
  "spacegroup": "No. 163"
}

=====

{
  "formula": "CsKMoO4",
  "functional": "GGA+U",
  "state": "relaxed",
  "lattice": [[6.6681, 0.0000, 0.0620], [0.0000, 6.7430, 0.0000], [-2.5427, 0.0000, 7.5674]],
  "species": ["K", "K", "O", "O", "O", "O", "O", "O", "O", "O", "Mo", "Mo", "Cs", "Cs"],
  "fractional_positions": [[0.8100, 0.7500, 0.4676], [0.1900, 0.2500, 0.5324], [0.9106, 0.4645, 0.7183], [0.0894, 0.9645, 0.2817], [0.4284, 0.7500, 0.1855], [0.0894, 0.5355, 0.2817], [0.4218, 0.7500, 0.5498], [0.5782, 0.2500, 0.4502], [0.9106, 0.0355, 0.7183], [0.5716, 0.2500, 0.8145], [0.2598, 0.7500, 0.3236], [0.7402, 0.2500, 0.6764], [0.2988, 0.2500, 0.0654], [0.7012, 0.7500, 0.9346]],
  "spacegroup": "No. 11"
}

=====

Number 1: density 6.73 g/cm³, DFT total energy -6.89 eV/atom. Number 2: density 3.23 g/cm³, DFT total energy -6.00 eV/atom.